VASP calculation (GGA-PBE) on a relaxed BeIn2Pt crystal.

abc: 4.225 4.225 3.926
angles: 90.00 90.00 90.00
Space group P4/mmm (No. 123)
One atom of each set of equivalent atoms:
Be 0.000 0.000 0.000
In 0.000 0.500 0.500
Pt 0.500 0.500 0.000

Values from the calculation:
Total energy ... -3.709 eV per atom
Calculated formation energy ... 0.102 eV per atom
M_tot ... 0.00 μB/f.u.


VASP calculation (GGA-PBE) on a relaxed BeIn2Pt2 crystal.

abc: 6.305 6.305 4.392
angles: 90.00 90.00 90.00
Space group P4/mbm (No. 127)
One atom of each set of equivalent atoms:
Be 0.000 0.000 0.000
In 0.163 0.337 0.500
Pt 0.159 0.659 0.000

Values from the calculation:
Total energy ... -4.588 eV per atom
Calculated formation energy ... -0.331 eV per atom
M_tot ... 0.00 μB/f.u.


VASP calculation (GGA-PBE) on a relaxed BeInPt2 crystal.

abc: 6.268 6.268 6.268
angles: 90.00 90.00 90.00
Space group Fm-3m (No. 225)
One atom of each set of equivalent atoms:
Be 0.000 0.000 0.000
In 0.000 0.000 0.500
Pt 0.250 0.250 0.250

Values from the calculation:
Total energy ... -4.963 eV per atom
Calculated formation energy ... -0.326 eV per atom
Relative energy among the computed polymorphs ... 19.4 kJ per mole of atoms
M_tot ... 0.00 μB/f.u.


Which of these has the highest total energy? BeIn2Pt